No. 1
A plane-wave DFT calculation with GGA-PBE was carried out for a relaxed structure of TcP2Pd2.

abc: 6.038 6.038 4.205
angles: 90.00 90.00 90.00
Fractional positions:
P (0.629, 0.129, 0.000)
P (0.129, 0.371, 0.000)
P (0.371, 0.871, 0.000)
P (0.871, 0.629, 0.000)
Tc (0.500, 0.500, 0.000)
Tc (0.000, 0.000, 0.000)
Pd (0.755, 0.745, 0.500)
Pd (0.255, 0.755, 0.500)
Pd (0.745, 0.245, 0.500)
Pd (0.245, 0.255, 0.500)

Computed properties:
As for the offset from the most stable computed form: 0 meV per atom. As for the crystal system: tetragonal.

=====

No. 2
A plane-wave DFT calculation with GGA-PBE was carried out for a relaxed structure of Tc2PPd.

abc: 5.551 5.551 6.505
angles: 64.74 64.74 90.00
Fractional positions:
Tc (0.595, 0.125, 0.250)
Tc (0.155, 0.625, 0.250)
Tc (0.875, 0.845, 0.750)
Tc (0.375, 0.405, 0.750)
P (0.500, 0.500, 0.000)
P (0.250, 0.750, 0.500)
Pd (0.000, 0.000, 0.000)
Pd (0.750, 0.250, 0.500)

Computed properties:
As for the crystal system: tetragonal.

=====

No. 3
A plane-wave DFT calculation with GGA-PBE was carried out for a relaxed structure of Tc3PPd.

abc: 4.762 4.762 4.762
angles: 90.00 90.00 90.00
Site moments in Bohr magnetons follow the coordinates.
Fractional positions:
P (0.500, 0.500, 0.500)  -0.12
Pd (0.000, 0.000, 0.000)  0.41
Tc (0.000, 0.000, 0.500)  2.53
Tc (0.000, 0.500, 0.000)  1.99
Tc (0.500, 0.000, 0.000)  1.64

Computed properties:
As for the offset from the most stable computed form: 1741 meV per atom. As for the crystal system: cubic.

=====

No. 4
A plane-wave DFT calculation with GGA-PBE was carried out for a relaxed structure of Tc3PPd.

abc: 4.344 4.344 4.344
angles: 90.00 90.00 90.00
Fractional positions:
Pd (0.500, 0.500, 0.500)
Tc (0.000, 0.000, 0.500)
Tc (0.500, 0.000, 0.000)
Tc (0.000, 0.500, 0.000)
P (0.000, 0.000, 0.000)

Computed properties:
As for the offset from the most stable computed form: 0 meV per atom. As for the crystal system: cubic.

=====

no.,energy of formation from the pure elements (eV/atom)
1,-0.304
2,0.779
3,2.292
4,0.551